# 1
VASP calculation (PBE) on a relaxed CeYGeS crystal.

a = 4.1080 Å, b = 4.1080 Å, c = 19.9807 Å
α = 90.00°, β = 90.00°, γ = 120.00°
With the nearest neighbours (Å) after each atom.
Space group R3m (No. 160, hexagonal axes)
Asymmetric unit:
1 Ce 0.0000 0.0000 0.0000  3 Ge 2.91, 3 S 2.91
2 Y 0.0000 0.0000 0.5021  3 S 2.86, 3 Ge 2.91
3 Ge 0.0000 0.0000 0.7512  3 Y 2.91, 3 Ce 2.91
4 S 0.0000 0.0000 0.2486  3 Y 2.86, 3 Ce 2.91

Output
density of states at the Fermi level: 14.507 states/eV per cell
raw formation energy: -5.7 eV per formula unit



# 2
VASP calculation (PBE) on a relaxed MnIn2 crystal.

a = 3.2092 Å, b = 3.2092 Å, c = 7.1078 Å
α = 90.00°, β = 90.00°, γ = 120.00°
With the nearest neighbours (Å) after each atom.
Space group P-3m1 (No. 164)
Asymmetric unit:
1 Mn 0.0000 0.0000 0.0000  6 In 2.86
2 In 0.3333 0.6667 0.3074  3 Mn 2.86

Output
density of states at the Fermi level: 2.442 states/eV per cell
formation enthalpy at 0 K: 0.283 eV/atom



# 3
VASP calculation (PBE) on a relaxed SrRu2W crystal.

a = 3.9139 Å, b = 3.9139 Å, c = 9.4799 Å
α = 90.00°, β = 90.00°, γ = 90.00°
With the nearest neighbours (Å) after each atom.
Space group I-4m2 (No. 119)
Asymmetric unit:
1 Sr 0.0000 0.0000 0.0000  8 Ru 2.77-3.07, 4 W 3.07
2 Ru 0.0000 0.0000 0.5000  4 Sr 2.77, 4 W 3.07, 4 Ru 3.07
3 Ru 0.0000 0.5000 0.2500  4 W 2.77, 4 Ru 3.07, 4 Sr 3.07
4 W 0.0000 0.5000 0.7500  8 Ru 2.77-3.07, 4 Sr 3.07

Output
polymorph energy (0 for the lowest one): 3.24 eV per formula unit
density of states at the Fermi level: 11.388 states/eV per cell
formation enthalpy at 0 K: 1.087 eV/atom



# 4
VASP calculation (PBE) on a relaxed TmZrCo crystal.

a = 5.8112 Å, b = 8.8197 Å, c = 9.4553 Å
α = 90.00°, β = 90.00°, γ = 90.00°
With the nearest neighbours (Å) after each atom.
Space group Fmmm (No. 69)
Asymmetric unit:
1 Tm 0.0000 0.1800 0.0000  4 Co 2.84, 3 Tm 3.16-3.18
2 Zr 0.0000 0.0000 0.3173  4 Co 2.72
3 Co 0.2500 0.2500 0.2500  4 Zr 2.72, 4 Tm 2.84, 2 Co 2.91

Output
polymorph energy (0 for the lowest one): 0.05 eV per formula unit
density of states at the Fermi level: 26.467 states/eV per cell
formation enthalpy at 0 K: -0.192 eV/atom